Computed, not measured: ScBi2BRh after structural relaxation at the GGA-PBE level of DFT.

Electronic total energy = -0.315 Ry/atom

Unit cell a=5.5680 b=5.5680 c=4.6316 alpha=90.00 beta=90.00 gamma=90.00
Space group P4/mmm (No. 123)
Asymmetric unit:
Sc1 0.0000 0.0000 0.0000
Bi1 0.0000 0.5000 0.0000
B1 0.5000 0.5000 0.5000
Rh1 0.0000 0.0000 0.5000